## TaRe2Pd (GGA-PBE)

Data for crystalline TaRe2Pd at its relaxed geometry.

a b c (Å): 4.4787 4.4787 4.4787
angles (deg): 60.00 60.00 60.00
Positions (direct):
Re 0.2500 0.2500 0.2500
Pd 0.0000 0.0000 0.0000
Re 0.7500 0.7500 0.7500
Ta 0.5000 0.5000 0.5000

Summary:
Total energy   -10.251 eV/atom
Energy of formation from the pure elements   0.23 eV per atom